Entry from the Open Quantum Materials Database: a geometry-optimized CdW4C3 structure (PBE).

Cell and atoms, written as extended XYZ:
```
16
Lattice="3.1270 0.0000 0.0000 -1.5635 2.7080 0.0000 0.0000 0.0000 24.2381" Properties=species:S:1:pos:R:3 pbc="T T T"
W 0.0000 0.0000 15.7068
C 0.0000 0.0000 12.1191
W 0.0000 0.0000 8.5313
C 1.5635 0.9027 2.5721
W 0.0000 1.8054 10.7874
W 0.0000 0.0000 3.5877
Cd 0.0000 1.8054 6.0595
C 0.0000 0.0000 0.0000
C 1.5635 0.9027 9.5470
Cd 1.5635 0.9027 18.1786
W 0.0000 0.0000 20.6504
C 0.0000 1.8054 21.6660
W 0.0000 1.8054 1.3316
W 1.5635 0.9027 13.4507
W 1.5635 0.9027 22.9065
C 0.0000 1.8054 14.6911
```

The calculation puts the electronic total energy at -156.857 eV/cell.